No. 1
Compound: LaMgTl
Source: Alexandria
Functional: GGA-PBE
Structure: optimized geometry

Cell: 5.299 5.299 5.299 Å, 60.00 60.00 60.00°
Sites, in units of the cell vectors:
Mg (0.750, 0.750, 0.750)
La (0.500, 0.500, 0.500)
Tl (0.250, 0.250, 0.250)

D(E_F): 0.330 states/eV per atom
Space-group type: F-43m (216)

=====

No. 2
Compound: La15Mg2Tl2
Source: Alexandria
Functional: GGA-PBE
Structure: optimized geometry

Cell: 8.902 8.902 8.902 Å, 75.36 75.36 75.36°
Sites, in units of the cell vectors:
La (0.818, 0.402, 0.402)
Mg (0.307, 0.307, 0.307)
La (0.402, 0.402, 0.818)
La (0.000, 0.000, 0.500)
La (0.708, 0.292, 0.000)
Mg (0.693, 0.693, 0.693)
La (0.500, 0.000, 0.000)
La (0.402, 0.818, 0.402)
La (0.000, 0.500, 0.000)
Tl (0.907, 0.907, 0.907)
La (0.000, 0.708, 0.292)
La (0.598, 0.598, 0.182)
La (0.292, 0.000, 0.708)
La (0.708, 0.000, 0.292)
Tl (0.093, 0.093, 0.093)
La (0.000, 0.292, 0.708)
La (0.182, 0.598, 0.598)
La (0.292, 0.708, 0.000)
La (0.598, 0.182, 0.598)

D(E_F): 1.242 states/eV per atom
Space-group type: R-3m (166)

=====

No. 3
Compound: LaMgTl
Source: Alexandria
Functional: GGA-PBE
Structure: optimized geometry

Cell: 5.175 5.175 5.175 Å, 60.00 60.00 60.00°
Sites, in units of the cell vectors:
La (0.250, 0.250, 0.250)
Mg (0.750, 0.750, 0.750)
Tl (0.000, 0.000, 0.000)

D(E_F): 0.001 states/eV per atom
Space-group type: F-43m (216)

=====

No. 4
Compound: LaMg15Tl4
Source: Alexandria
Functional: GGA-PBE
Structure: optimized geometry

Cell: 4.879 4.879 20.331 Å, 90.00 90.00 90.00°
Sites, in units of the cell vectors:
Mg (0.000, 0.500, 0.112)
Mg (0.500, 0.000, 0.112)
Mg (0.000, 0.500, 0.693)
Tl (0.000, 0.000, 0.595)
Mg (0.500, 0.500, 0.000)
Tl (0.000, 0.000, 0.405)
Mg (0.500, 0.500, 0.213)
Mg (0.500, 0.000, 0.307)
Tl (0.000, 0.000, 0.793)
Mg (0.500, 0.000, 0.888)
Mg (0.000, 0.500, 0.888)
Mg (0.500, 0.500, 0.787)
Mg (0.500, 0.000, 0.693)
Tl (0.000, 0.000, 0.207)
Mg (0.500, 0.000, 0.500)
La (0.000, 0.000, 0.000)
Mg (0.000, 0.500, 0.500)
Mg (0.000, 0.500, 0.307)
Mg (0.500, 0.500, 0.599)
Mg (0.500, 0.500, 0.401)

D(E_F): 0.396 states/eV per atom
Space-group type: P4/mmm (123)

=====

VASP energy, respectively: -2.766 -4.163 -3.180 -1.952 eV/atom.